## CaAg2Rh (PBE)

Data for a geometry-optimized CaAg2Rh structure.

It has space group I-42d (No. 122), with a = 4.017 Å, b = 4.017 Å, c = 20.388 Å, α = 90.00°, β = 90.00° and γ = 90.00°. The distinct sites, in fractional coordinates, are Ca at (0.000, 0.000, 0.000), Ag at (0.231, 0.250, 0.625) and Rh at (0.000, 0.000, 0.500).

Its total moment is 0.00 μB/f.u. The calculation puts the electronic total energy at -58.7 eV per cell. The calculation puts the calculated formation energy at 96.8 meV/atom.